No. 1
Material: KZrCu2
Method: DFT, GGA-PBE
State: optimized geometry

Lattice parameters (Å, degrees): 2.8144 5.2539 11.0438 90.00 90.00 90.00
With the nearest neighbours (Å) after each atom.
Space group Imm2 (No. 44)
One atom of each set of equivalent atoms:
K1 0.0000 0.0000 0.0000  2 K 2.81, 4 Cu 3.01
Zr1 0.0000 0.5000 0.8036  2 Zr 2.81, 6 Cu 2.93-3.10
Cu1 0.0000 0.0000 0.5366  4 Cu 2.52-2.81
Cu2 0.0000 0.5000 0.2254  4 Cu 2.52-2.81

Output
DFT total energy, eV/cell: -31.7
Energy relative to the lowest polymorph listed for this composition, eV/f.u.: 1.24
Energy of formation from the pure elements, meV per atom: 494

=====

No. 2
Material: KZrCu2
Method: DFT, GGA-PBE
State: optimized geometry

Lattice parameters (Å, degrees): 5.2715 5.2715 2.9247 90.00 90.00 90.00
With the nearest neighbours (Å) after each atom.
Space group P4/mmm (No. 123)
One atom of each set of equivalent atoms:
K1 0.0000 0.0000 0.0000  2 K 2.92, 8 Cu 3.01
Zr1 0.5000 0.5000 0.0000  2 Zr 2.92, 8 Cu 3.01
Cu1 0.0000 0.5000 0.5000  2 Cu 2.92, 4 Zr 3.01, 4 K 3.01

Output
DFT total energy, eV/cell: -16.1
Energy relative to the lowest polymorph listed for this composition, eV/f.u.: 1.01
Energy of formation from the pure elements, meV per atom: 437

=====

No. 3
Material: KZrCu2
Method: DFT, GGA-PBE
State: optimized geometry

Lattice parameters (Å, degrees): 6.6720 6.6720 6.6720 90.00 90.00 90.00
With the nearest neighbours (Å) after each atom.
Space group F-43m (No. 216)
One atom of each set of equivalent atoms:
K1 0.0000 0.0000 0.0000  4 Zr 2.89, 4 Cu 2.89
Zr1 0.2500 0.2500 0.7500  4 K 2.89, 4 Cu 2.89
Cu1 0.0000 0.0000 0.5000  4 Zr 2.89, 4 Cu 2.89
Cu2 0.2500 0.2500 0.2500  4 Cu 2.89, 4 K 2.89

Output
DFT total energy, eV/cell: -58.3
Energy relative to the lowest polymorph listed for this composition, eV/f.u.: 2.54
Energy of formation from the pure elements, meV per atom: 819

=====

No. 4
Material: KZrCu2
Method: DFT, GGA-PBE
State: optimized geometry

Lattice parameters (Å, degrees): 3.4229 3.4229 7.8127 90.00 90.00 90.00
With the nearest neighbours (Å) after each atom.
Space group P4/mmm (No. 123)
One atom of each set of equivalent atoms:
K1 0.0000 0.0000 0.0000  4 K 3.42, 8 Cu 3.54
Zr1 0.0000 0.0000 0.5000  8 Cu 2.76
Cu1 0.5000 0.5000 0.3309  1 Cu 2.64, 4 Zr 2.76

Output
DFT total energy, eV/cell: -17.1
Energy relative to the lowest polymorph listed for this composition, eV/f.u.: 0.00
Energy of formation from the pure elements, meV per atom: 184